VASP calculation (GGA-PBE) on a relaxed NdHfCd crystal.

E_form (eV/atom): 0.731

a b c (Å): 4.985 4.985 4.985
angles (deg): 60.00 60.00 60.00
Fractional coordinates of all 3 atoms:
Cd 0.250 0.250 0.250
Hf 0.000 0.000 0.000
Nd 0.750 0.750 0.750